Entry from Alexandria: an optimized crystal structure of CoI2NO (PBE with a Hubbard U).

Calculated values
excess energy over the best structure of this formula in the dataset: 615.0 meV/atom
symmetry: P4/mmm, No. 123

abc: 4.973 4.973 3.534
angles: 90.00 90.00 90.00
Positions (direct):
Co1 0.000 0.000 0.000
I1 0.000 0.500 0.500
I2 0.500 0.000 0.500
N1 0.500 0.500 0.500
O1 0.500 0.500 0.000